1.
4
Lattice="3.4879 0.0000 0.0000 0.0000 3.4879 0.0000 0.0000 0.0000 7.7358" Properties=species:S:1:pos:R:3 comment="PrTiCd2, optimized geometry, DFT PBE" delta_e_f_ev_per_atom=-0.053 total_energy_ev_per_atom=-3.68 pbc="T T T"
Pr 0.0000 0.0000 0.0000
Ti 0.0000 0.0000 3.8679
Cd 1.7439 1.7439 2.2862
Cd 1.7439 1.7439 5.4497

2.
4
Lattice="3.5009 0.0000 0.0000 0.0000 3.5009 0.0000 0.0000 0.0000 9.0102" Properties=species:S:1:pos:R:3 comment="Pr2TiCd, optimized geometry, DFT PBE" delta_e_f_ev_per_atom=0.046 total_energy_ev_per_atom=-4.55 pbc="T T T"
Pr 0.0000 0.0000 2.1743
Pr 0.0000 0.0000 6.8359
Ti 1.7504 1.7504 0.0000
Cd 1.7504 1.7504 4.5051

3.
12
Lattice="3.3018 0.0000 0.0000 -1.6509 2.8594 0.0000 0.0000 0.0000 35.3136" Properties=species:S:1:pos:R:3 comment="Pr2TiCd, optimized geometry, DFT PBE" delta_e_f_ev_per_atom=0.383 total_energy_ev_per_atom=-4.21 pbc="T T T"
Pr 0.0000 0.0000 2.9715
Pr 0.0000 0.0000 32.3421
Pr 0.0000 1.9063 20.5709
Pr 0.0000 1.9063 26.5139
Pr 1.6509 0.9531 8.7997
Pr 1.6509 0.9531 14.7427
Ti 0.0000 0.0000 0.0000
Ti 0.0000 1.9063 23.5424
Ti 1.6509 0.9531 11.7712
Cd 0.0000 0.0000 17.6568
Cd 0.0000 1.9063 5.8856
Cd 1.6509 0.9531 29.4280

4.
6
Lattice="0.0000 4.1260 4.1260 4.1260 0.0000 4.1260 4.1260 4.1260 0.0000" Properties=species:S:1:pos:R:3 comment="PrTiCd4, optimized geometry, DFT PBE" delta_e_f_ev_per_atom=-0.057 total_energy_ev_per_atom=-2.78 pbc="T T T"
Pr 0.0000 0.0000 0.0000
Ti 2.0630 2.0630 2.0630
Cd 5.1528 3.0992 3.0992
Cd 3.0992 5.1528 3.0992
Cd 3.0992 3.0992 5.1528
Cd 5.1528 5.1528 5.1528

5.
6
Lattice="3.4097 0.0000 0.0000 0.0000 3.4097 0.0000 0.0000 0.0000 12.6563" Properties=species:S:1:pos:R:3 comment="PrTiCd, optimized geometry, DFT PBE" delta_e_f_ev_per_atom=0.063 total_energy_ev_per_atom=-4.47 pbc="T T T"
Pr 0.0000 0.0000 2.4368
Pr 0.0000 0.0000 10.2195
Ti 1.7048 1.7048 4.6318
Ti 1.7048 1.7048 8.0245
Cd 0.0000 0.0000 6.3281
Cd 1.7048 1.7048 0.0000

6.
18
Lattice="9.7139 0.0000 0.0000 -4.8569 8.4124 0.0000 0.0000 0.0000 6.8555" Properties=species:S:1:pos:R:3 comment="Pr5Tl3Cd, optimized geometry, DFT PBE" delta_e_f_ev_per_atom=-0.336 total_energy_ev_per_atom=-3.88 pbc="T T T"
Pr -1.4203 2.4601 1.7139
Pr -3.4366 5.9524 5.1416
Pr 2.8406 0.0000 1.7139
Pr 1.4203 2.4601 5.1416
Pr 0.0000 5.6083 0.0000
Pr 0.0000 5.6083 3.4277
Pr 4.8569 2.8041 0.0000
Pr 4.8569 2.8041 3.4277
Pr 6.8732 0.0000 5.1416
Pr 3.4366 5.9524 1.7139
Tl -1.7844 3.0907 5.1416
Tl -3.0725 5.3217 1.7139
Tl 3.5688 0.0000 5.1416
Tl 1.7844 3.0907 1.7139
Tl 6.1450 0.0000 1.7139
Tl 3.0725 5.3217 5.1416
Cd 0.0000 0.0000 0.0000
Cd 0.0000 0.0000 3.4277

7.
4
Lattice="5.1686 0.0000 0.0000 -2.5843 4.4761 0.0000 0.0000 0.0000 6.0161" Properties=species:S:1:pos:R:3 comment="PrTlCd2, optimized geometry, DFT PBE" delta_e_f_ev_per_atom=0.370 total_energy_ev_per_atom=-1.87 pbc="T T T"
Pr 0.0000 0.0000 0.0000
Tl 2.5843 1.4920 3.0080
Cd 0.0000 0.0000 3.0080
Cd 0.0000 2.9841 3.0080

8.
11
Lattice="-3.0541 3.0541 10.6139 3.0541 -3.0541 10.6139 3.0541 3.0541 -10.6139" Properties=species:S:1:pos:R:3 comment="Pr6Tl2Cd3, optimized geometry, DFT PBE" delta_e_f_ev_per_atom=0.076 total_energy_ev_per_atom=-3.21 pbc="T T T"
Pr 3.0541 0.0000 2.0076
Pr 0.0000 0.0000 4.5139
Pr 3.0541 0.0000 8.6063
Pr 0.0000 3.0541 2.0076
Pr 0.0000 0.0000 16.7139
Pr 0.0000 3.0541 8.6063
Tl 0.0000 0.0000 1.4091
Tl 0.0000 0.0000 19.8187
Cd 0.0000 0.0000 7.5531
Cd 0.0000 0.0000 10.6139
Cd 0.0000 0.0000 13.6747

9.
10
Lattice="5.8756 -2.4719 0.0000 5.8756 2.4719 0.0000 -4.9465 0.0000 10.1958" Properties=species:S:1:pos:R:3 comment="Pr2Tl2Cd, optimized geometry, DFT PBE" delta_e_f_ev_per_atom=-0.331 total_energy_ev_per_atom=-3.37 pbc="T T T"
Pr -1.3854 0.0000 3.4327
Pr 1.6158 0.0000 0.9227
Pr 5.1890 0.0000 9.2731
Pr 8.1902 0.0000 6.7632
Tl 2.0436 0.0000 4.4225
Tl 4.8745 0.0000 1.2169
Tl 1.9303 0.0000 8.9789
Tl 4.7612 0.0000 5.7733
Cd -0.0801 0.0000 6.8510
Cd 6.8849 0.0000 3.3449

10.
7
Lattice="2.7230 1.5721 8.6999 -2.7230 1.5721 8.6999 0.0000 -3.1443 8.6999" Properties=species:S:1:pos:R:3 comment="Pr4TlCd2, optimized geometry, DFT PBE" delta_e_f_ev_per_atom=-0.190 total_energy_ev_per_atom=-3.52 pbc="T T T"
Pr 0.0000 0.0000 3.0417
Pr 0.0000 0.0000 9.6462
Pr 0.0000 0.0000 16.4535
Pr 0.0000 0.0000 23.0580
Tl 0.0000 0.0000 13.0498
Cd 0.0000 0.0000 6.4085
Cd 0.0000 0.0000 19.6912

11.
19
Lattice="8.8214 -3.8407 0.0000 8.8214 3.8407 0.0000 -1.1768 0.0000 9.3605" Properties=species:S:1:pos:R:3 comment="Pr12Tl5Cd2, optimized geometry, DFT PBE" delta_e_f_ev_per_atom=-0.126 total_energy_ev_per_atom=-3.86 pbc="T T T"
Pr -0.0707 0.0000 1.7534
Pr 5.2231 1.8248 5.4900
Pr 6.1624 1.9227 0.0353
Pr 10.3037 1.9227 9.3252
Pr 11.2429 1.8248 3.8704
Pr 7.7638 0.0000 2.9078
Pr 8.7023 0.0000 6.4526
Pr 5.2231 -1.8248 5.4900
Pr 6.1624 -1.9227 0.0353
Pr 10.3037 -1.9227 9.3252
Pr 11.2429 -1.8248 3.8704
Pr 16.5368 0.0000 7.6071
Tl 2.4881 0.0000 6.7914
Tl 4.4808 0.0000 2.3214
Tl 8.8214 0.0000 0.0000
Tl 11.9853 0.0000 7.0390
Tl 13.9780 0.0000 2.5691
Cd 8.2330 2.4956 4.6802
Cd 8.2330 -2.4956 4.6802

12.
8
Lattice="5.4840 0.0000 0.0000 0.0000 8.5968 0.0000 -2.6079 0.0000 4.8365" Properties=species:S:1:pos:R:3 comment="PrTlCd2, optimized geometry, DFT PBE" delta_e_f_ev_per_atom=-0.104 total_energy_ev_per_atom=-2.35 pbc="T T T"
Pr -0.7417 2.1492 2.0783
Pr 3.6178 6.4476 2.7582
Tl 2.0181 2.1492 0.4259
Tl 0.8580 6.4476 4.4106
Cd 0.7983 4.9694 1.1635
Cd 0.7983 7.9259 1.1635
Cd 2.0778 0.6710 3.6730
Cd 2.0778 3.6274 3.6730

13.
16
Lattice="2.4272 -5.9752 0.0000 2.4272 5.9752 0.0000 0.0000 0.0000 16.0382" Properties=species:S:1:pos:R:3 comment="Pr3Tl3Cd2, optimized geometry, DFT PBE" delta_e_f_ev_per_atom=-0.321 total_energy_ev_per_atom=-3.23 pbc="T T T"
Pr 2.4272 5.0900 9.8293
Pr 2.4272 5.0900 14.2279
Pr 2.4272 1.8799 12.0286
Pr 2.4272 -1.8799 4.0095
Pr 2.4272 -5.0900 1.8102
Pr 2.4272 -5.0900 6.2088
Tl 2.4272 1.5243 4.0095
Tl 2.4272 1.3009 8.7792
Tl 2.4272 1.3009 15.2780
Tl 2.4272 -1.3009 0.7601
Tl 2.4272 -1.3009 7.2589
Tl 2.4272 -1.5243 12.0286
Cd 2.4272 3.3164 1.5780
Cd 2.4272 3.3164 6.4411
Cd 2.4272 -3.3164 9.5971
Cd 2.4272 -3.3164 14.4601

14.
4
Lattice="4.6527 0.0000 0.0000 0.0000 4.6527 0.0000 0.0000 0.0000 4.9520" Properties=species:S:1:pos:R:3 comment="PrTlCd2, optimized geometry, DFT PBE" delta_e_f_ev_per_atom=-0.293 total_energy_ev_per_atom=-2.54 pbc="T T T"
Pr 0.0000 0.0000 0.0000
Tl 2.3263 2.3263 0.0000
Cd 0.0000 2.3263 2.4760
Cd 2.3263 0.0000 2.4760

15.
12
Lattice="3.3544 -8.4554 0.0000 3.3544 8.4554 0.0000 0.0000 0.0000 5.9776" Properties=species:S:1:pos:R:3 comment="PrTl3Cd2, optimized geometry, DFT PBE" delta_e_f_ev_per_atom=-0.113 total_energy_ev_per_atom=-2.40 pbc="T T T"
Pr 3.3544 5.6017 4.4832
Pr 3.3544 -5.6017 1.4944
Tl 1.6643 2.7554 4.4832
Tl 3.3544 2.4576 1.4944
Tl 1.6643 -2.7554 1.4944
Tl 5.0446 2.7554 4.4832
Tl 3.3544 -2.4576 4.4832
Tl 5.0446 -2.7554 1.4944
Cd 1.5249 0.0000 0.0000
Cd 1.5249 0.0000 2.9888
Cd 5.1840 0.0000 0.0000
Cd 5.1840 0.0000 2.9888

16.
16
Lattice="-4.0381 4.0381 7.8833 4.0381 -4.0381 7.8833 4.0381 4.0381 -7.8833" Properties=species:S:1:pos:R:3 comment="Pr5TlCd2, optimized geometry, DFT PBE" delta_e_f_ev_per_atom=-0.209 total_energy_ev_per_atom=-3.72 pbc="T T T"
Pr 0.0000 0.0000 0.0000
Pr 5.3520 1.3140 -2.4452
Pr 1.3140 2.7241 -2.4452
Pr 5.3520 1.3140 2.4452
Pr 1.3140 2.7241 2.4452
Pr 0.0000 0.0000 7.8833
Pr 2.7241 1.3140 5.4381
Pr -1.3140 2.7241 5.4381
Pr 2.7241 1.3140 10.3284
Pr -1.3140 2.7241 10.3284
Tl 0.0000 0.0000 3.9416
Tl 0.0000 0.0000 11.8249
Cd 3.0103 1.0278 0.0000
Cd 3.0103 -1.0278 7.8833
Cd 1.0278 5.0659 0.0000
Cd 1.0278 3.0103 7.8833

17.
10
Lattice="7.8858 0.0000 0.0000 0.0000 7.8858 0.0000 0.0000 0.0000 4.8070" Properties=species:S:1:pos:R:3 comment="Pr2Tl2Cd, optimized geometry, DFT PBE" delta_e_f_ev_per_atom=-0.322 total_energy_ev_per_atom=-3.36 pbc="T T T"
Pr 1.3291 2.6138 0.0000
Pr 2.6138 6.5567 0.0000
Pr 5.2720 1.3291 0.0000
Pr 6.5567 5.2720 0.0000
Tl 1.0839 5.0268 2.4035
Tl 2.8590 1.0839 2.4035
Tl 5.0268 6.8019 2.4035
Tl 6.8019 2.8590 2.4035
Cd 0.0000 0.0000 2.4035
Cd 3.9429 3.9429 2.4035

18.
10
Lattice="3.8747 0.0000 0.0000 0.0000 3.8747 0.0000 0.0000 0.0000 19.7119" Properties=species:S:1:pos:R:3 comment="Pr5TlCd4, optimized geometry, DFT PBE" delta_e_f_ev_per_atom=-0.328 total_energy_ev_per_atom=-3.32 pbc="T T T"
Pr 0.0000 0.0000 0.0000
Pr 0.0000 0.0000 3.9079
Pr 0.0000 0.0000 7.8056
Pr 0.0000 0.0000 11.9063
Pr 0.0000 0.0000 15.8040
Tl 1.9373 1.9373 9.8560
Cd 1.9373 1.9373 1.9610
Cd 1.9373 1.9373 5.8391
Cd 1.9373 1.9373 13.8728
Cd 1.9373 1.9373 17.7510

19.
16
Lattice="7.5240 0.0000 0.0000 0.0000 7.5240 0.0000 0.0000 0.0000 7.5240" Properties=species:S:1:pos:R:3 comment="PrTlCd2, optimized geometry, DFT PBE" delta_e_f_ev_per_atom=-0.207 total_energy_ev_per_atom=-2.45 pbc="T T T"
Pr 0.0000 0.0000 0.0000
Pr 0.0000 3.7620 3.7620
Pr 3.7620 0.0000 3.7620
Pr 3.7620 3.7620 0.0000
Tl 0.0000 0.0000 3.7620
Tl 0.0000 3.7620 0.0000
Tl 3.7620 0.0000 0.0000
Tl 3.7620 3.7620 3.7620
Cd 1.8810 1.8810 1.8810
Cd 1.8810 1.8810 5.6430
Cd 1.8810 5.6430 1.8810
Cd 1.8810 5.6430 5.6430
Cd 5.6430 1.8810 1.8810
Cd 5.6430 1.8810 5.6430
Cd 5.6430 5.6430 1.8810
Cd 5.6430 5.6430 5.6430

20.
10
Lattice="5.7644 -2.5531 0.0000 5.7644 2.5531 0.0000 -3.4065 0.0000 9.6316" Properties=species:S:1:pos:R:3 comment="Pr2TlCd2, optimized geometry, DFT PBE" delta_e_f_ev_per_atom=-0.291 total_energy_ev_per_atom=-3.04 pbc="T T T"
Pr -0.5793 0.0000 3.3711
Pr 1.7769 0.0000 0.6473
Pr 6.3455 0.0000 8.9843
Pr 8.7017 0.0000 6.2605
Tl 0.5496 0.0000 6.7513
Tl 7.5728 0.0000 2.8803
Cd 2.8742 0.0000 3.9955
Cd 5.0535 0.0000 1.2838
Cd 3.0689 0.0000 8.3477
Cd 5.2482 0.0000 5.6361

21.
12
Lattice="5.5086 0.0000 0.0000 0.0000 16.6129 0.0000 0.0000 0.0000 3.9009" Properties=species:S:1:pos:R:3 comment="Pr3TlCd2, optimized geometry, DFT PBE" delta_e_f_ev_per_atom=-0.339 total_energy_ev_per_atom=-3.43 pbc="T T T"
Pr 0.0000 0.0000 0.0000
Pr 0.0000 5.5295 0.0000
Pr 0.0000 11.0834 0.0000
Pr 2.7543 2.7769 0.0000
Pr 2.7543 8.3065 0.0000
Pr 2.7543 13.8360 0.0000
Tl 0.0000 8.3065 1.9505
Tl 2.7543 0.0000 1.9505
Cd 0.0000 2.8240 1.9505
Cd 0.0000 13.7889 1.9505
Cd 2.7543 5.4824 1.9505
Cd 2.7543 11.1305 1.9505

22.
12
Lattice="5.0292 0.0000 0.0000 0.0000 5.0292 0.0000 0.0000 0.0000 15.0533" Properties=species:S:1:pos:R:3 comment="Pr9TlCd2, optimized geometry, DFT PBE" delta_e_f_ev_per_atom=-0.147 total_energy_ev_per_atom=-4.08 pbc="T T T"
Pr 0.0000 0.0000 0.0000
Pr 0.0000 0.0000 5.0355
Pr 0.0000 0.0000 10.0178
Pr 0.0000 2.5146 2.5155
Pr 0.0000 2.5146 7.5266
Pr 0.0000 2.5146 12.5378
Pr 2.5146 0.0000 2.5155
Pr 2.5146 0.0000 7.5266
Pr 2.5146 0.0000 12.5378
Tl 2.5146 2.5146 0.0000
Cd 2.5146 2.5146 5.0272
Cd 2.5146 2.5146 10.0261

23.
4
Lattice="3.7794 0.0000 0.0000 0.0000 3.7794 0.0000 0.0000 0.0000 7.7716" Properties=species:S:1:pos:R:3 comment="PrTl2Cd, optimized geometry, DFT PBE" delta_e_f_ev_per_atom=-0.155 total_energy_ev_per_atom=-2.76 pbc="T T T"
Pr 0.0000 0.0000 0.0000
Tl 1.8897 1.8897 2.1224
Tl 1.8897 1.8897 5.6492
Cd 0.0000 0.0000 3.8858